Below is a relaxed CeSbPb crystal, with properties calculated at the GGA-PBE level.

Unit cell a=4.5564 b=4.4583 c=8.8015 alpha=104.67 beta=90.00 gamma=90.00
With the nearest neighbours (Å) after each atom.
Atoms (fractional coordinates):
Ce1 0.7500 0.9060 0.8120  4 Sb 3.21, 4 Pb 3.47-3.49
Ce2 0.2500 0.0940 0.1880  4 Sb 3.21, 4 Pb 3.47-3.49
Sb1 0.2500 0.4278 0.8556  4 Ce 3.21, 2 Sb 3.35
Sb2 0.7500 0.5722 0.1444  4 Ce 3.21, 2 Sb 3.35
Pb1 0.2500 0.7521 0.5041  4 Pb 3.19, 4 Ce 3.47-3.49
Pb2 0.7500 0.2479 0.4959  4 Pb 3.19, 4 Ce 3.47-3.49

Results
energy above the most stable polymorph in this dataset = 0 meV/atom
total magnetization = 0.7 μB per formula unit
raw formation energy = -0.594 eV per atom
DFT total energy = -31.09 eV for the cell shown